Entry 1:
This record from Alexandria describes TbPmNd3 after structural relaxation. The functional is PBE.

Unit cell a=8.146 b=8.146 c=6.262 alpha=90.00 beta=90.00 gamma=59.92
Positions (direct):
Tb 0.669 0.669 0.250
Tb 0.331 0.331 0.750
Pm 0.200 0.200 0.250
Pm 0.800 0.800 0.750
Nd 0.598 0.200 0.250
Nd 0.200 0.598 0.250
Nd 0.800 0.402 0.750
Nd 0.402 0.800 0.750
Nd 0.000 0.000 0.000
Nd 0.000 0.000 0.500

Output
Symmetry = Cmcm, No. 63
Energy relative to the elements = 318 meV/atom
Magnetic moment = 0.00 μB/f.u.

***

Entry 2:
This record from Alexandria describes PaCuSnSe3 after structural relaxation. The functional is PBE.

Unit cell a=4.125 b=7.285 c=10.377 alpha=90.00 beta=90.00 gamma=106.43
Positions (direct):
Pa 0.000 0.000 0.500
Pa 0.000 0.000 0.000
Sn 0.199 0.403 0.250
Sn 0.801 0.597 0.750
Se 0.637 0.274 0.056
Se 0.363 0.726 0.944
Se 0.363 0.726 0.556
Se 0.637 0.274 0.444
Se 0.082 0.168 0.750
Se 0.918 0.832 0.250
Cu 0.471 0.944 0.750
Cu 0.529 0.056 0.250

Output
Raw formation energy = -0.706 eV per atom
Symmetry = P2_1/m, No. 11
Magnetic moment = 0.87 μB/f.u.

***

Question: Which value of magnetic moment does entry 1 give?
Answer: 0.00 μB/f.u.

***

Question: Which of these has the highest magnetic moment?
Answer: PaCuSnSe3